No. 1
VASP calculation (PBE-GGA) on a geometry-optimized BeCoI structure.

Calculated values
SG = Pnma (62)
raw formation energy = 1.8 eV per formula unit
electronic total energy = -3.543 eV/atom
density = 6.803 Mg/m³

a b c (Å): 5.3930 8.2488 4.2764
angles (deg): 90.00 90.00 90.00
Closest atoms and distances in Å follow each position.
Atoms (fractional coordinates):
1 Be 0.0023 0.2500 0.1772  2 Co 2.27, 2 I 2.48
2 Be 0.4977 0.7500 0.6772  2 Co 2.27, 2 I 2.48
3 Be 0.5023 0.2500 0.3228  2 Co 2.27, 2 I 2.48
4 Be 0.9977 0.7500 0.8228  2 Co 2.27, 2 I 2.48
5 Co 0.2495 0.7500 0.2486  2 Be 2.27
6 Co 0.2505 0.2500 0.7486  2 Be 2.27
7 Co 0.7495 0.7500 0.2514  2 Be 2.27
8 Co 0.7505 0.2500 0.7514  2 Be 2.27
9 I 0.0000 0.0000 0.5000  2 Be 2.48, 4 Co 2.68-2.69
10 I 0.0000 0.5000 0.5000  2 Be 2.48, 4 Co 2.68-2.69
11 I 0.5000 0.0000 0.0000  2 Be 2.48, 4 Co 2.68-2.69
12 I 0.5000 0.5000 0.0000  2 Be 2.48, 4 Co 2.68-2.69

No. 2
VASP calculation (PBE-GGA) on a geometry-optimized BeCoIN2 structure.

Calculated values
SG = P4/mmm (123)
raw formation energy = 5.7 eV per formula unit
electronic total energy = -4.664 eV/atom
density = 4.048 Mg/m³

a b c (Å): 3.5409 3.5409 7.2910
angles (deg): 90.00 90.00 90.00
Closest atoms and distances in Å follow each position.
Atoms (fractional coordinates):
1 Be 0.0000 0.0000 0.0000  4 I 2.50
2 Co 0.5000 0.5000 0.5000  4 N 1.77
3 I 0.5000 0.5000 0.0000  4 Be 2.50
4 N 0.0000 0.5000 0.5000  2 Co 1.77
5 N 0.5000 0.0000 0.5000  2 Co 1.77

No. 3
VASP calculation (PBE-GGA) on a geometry-optimized BeCoIN2 structure.

Calculated values
SG = P4/mmm (123)
raw formation energy = 6.9 eV per formula unit
electronic total energy = -4.420 eV/atom
density = 4.816 Mg/m³

a b c (Å): 3.5123 3.5123 6.2288
angles (deg): 90.00 90.00 90.00
Closest atoms and distances in Å follow each position.
Atoms (fractional coordinates):
1 Be 0.0000 0.0000 0.0000  4 N 1.76
2 Co 0.5000 0.5000 0.5000  4 I 2.48
3 I 0.0000 0.0000 0.5000  4 Co 2.48
4 N 0.0000 0.5000 0.0000  2 Be 1.76
5 N 0.5000 0.0000 0.0000  2 Be 1.76

Question: What is the formula in the second record?
Answer: BeCoIN2